Record 1
A geometry-optimized CsZn2Ge structure. Source: Alexandria, functional PBE-GGA.

Results
formation energy = 0.082 eV per atom
volume = 275.4 Å³ per cell
space group = I4_1/amd, No. 141

Cell: 9.095 9.095 9.095 Å, 142.62 142.62 53.90°
Element x y z (fractional)
Cs 0.375 0.625 0.750
Cs 0.625 0.375 0.250
Zn 0.000 0.000 0.000
Zn 0.000 0.000 0.500
Zn 0.000 0.500 0.000
Zn 0.500 0.000 0.500
Ge 0.125 0.875 0.250
Ge 0.875 0.125 0.750

---

Record 2
A geometry-optimized TmMgSbAu structure. Source: Alexandria, functional PBE-GGA.

Results
volume = 91.7 Å³ per cell
space group = F-43m, No. 216
total DFT energy (no corrections) = -15.673 eV per cell

Cell: 5.062 5.062 5.062 Å, 60.00 60.00 60.00°
Element x y z (fractional)
Tm 0.000 0.000 0.000
Mg 0.500 0.500 0.500
Sb 0.250 0.250 0.250
Au 0.750 0.750 0.750

---

Record 3
A geometry-optimized AgAsH2 structure. Source: Alexandria, functional PBE-GGA.

Results
energy above the lowest structure with this stoichiometry = 0.241 eV/atom
volume = 45.1 Å³ per cell
space group = Fm-3m, No. 225

Cell: 3.995 3.995 3.995 Å, 60.00 60.00 60.00°
Element x y z (fractional)
Ag 0.000 0.000 0.000
As 0.500 0.500 0.500
H 0.250 0.250 0.250
H 0.750 0.750 0.750

---

Record 4
A geometry-optimized BeSb2 structure. Source: Alexandria, functional PBE-GGA.

Results
energy above the lowest structure with this stoichiometry = 0.171 eV/atom
volume = 68.5 Å³ per cell
space group = I4/mmm, No. 139

Cell: 6.393 6.393 6.393 Å, 149.14 149.14 44.20°
Element x y z (fractional)
Be 0.000 0.000 0.000
Sb 0.378 0.378 0.000
Sb 0.622 0.622 0.000

---

Record 5
A geometry-optimized MnSbC3 structure. Source: Alexandria, functional PBE-GGA.

Results
energy above the lowest structure with this stoichiometry = 1.442 eV/atom
volume = 73.2 Å³ per cell
space group = Pm-3m, No. 221

Cell: 4.184 4.184 4.184 Å, 90.00 90.00 90.00°
Element x y z (fractional)
Mn 0.000 0.000 0.000
Sb 0.500 0.500 0.500
C 0.000 0.500 0.500
C 0.500 0.000 0.500
C 0.500 0.500 0.000

---

Record 6
A geometry-optimized CuSb structure. Source: Alexandria, functional PBE-GGA.

Results
volume = 183.3 Å³ per cell
space group = I4/m, No. 87
total DFT energy (no corrections) = -31.488 eV per cell

Cell: 6.864 6.864 6.864 Å, 95.68 95.68 143.34°
Element x y z (fractional)
Cu 0.061 0.182 0.243
Cu 0.182 0.939 0.121
Cu 0.818 0.061 0.879
Cu 0.939 0.818 0.757
Sb 0.170 0.654 0.824
Sb 0.346 0.170 0.516
Sb 0.654 0.830 0.484
Sb 0.830 0.346 0.176

---

Record 7
A geometry-optimized Y8C3Se3S structure. Source: Alexandria, functional PBE-GGA.

Results
volume = 323.7 Å³ per cell
space group = R-3m, No. 166
total DFT energy (no corrections) = -112.255 eV per cell

Cell: 7.820 7.820 7.820 Å, 58.15 58.15 58.15°
Element x y z (fractional)
Y 0.214 0.751 0.751
Y 0.235 0.235 0.235
Y 0.249 0.249 0.786
Y 0.249 0.786 0.249
Y 0.751 0.214 0.751
Y 0.751 0.751 0.214
Y 0.765 0.765 0.765
Y 0.786 0.249 0.249
C 0.000 0.000 0.500
C 0.000 0.500 0.000
C 0.500 0.000 0.000
Se 0.000 0.500 0.500
Se 0.500 0.000 0.500
Se 0.500 0.500 0.000
S 0.500 0.500 0.500

---

Record 8
A geometry-optimized KScN2O structure. Source: Alexandria, functional PBE-GGA.

Results
volume = 81.7 Å³ per cell
space group = P4/mmm, No. 123
total DFT energy (no corrections) = -30.183 eV per cell

Cell: 4.454 4.454 4.119 Å, 90.00 90.00 90.00°
Element x y z (fractional)
K 0.000 0.000 0.000
Sc 0.500 0.500 0.500
N 0.000 0.500 0.500
N 0.500 0.000 0.500
O 0.500 0.500 0.000

---

Record 9
A geometry-optimized Ba2TlBiTe5 structure. Source: Alexandria, functional PBE-GGA.

Results
volume = 690.4 Å³ per cell
space group = Cmc2_1, No. 36
total DFT energy (no corrections) = -67.776 eV per cell

Cell: 10.688 10.688 14.132 Å, 90.00 90.00 154.68°
Element x y z (fractional)
Ba 0.114 0.886 0.500
Ba 0.129 0.871 0.127
Ba 0.871 0.129 0.627
Ba 0.886 0.114 0.000
Tl 0.440 0.560 0.260
Tl 0.560 0.440 0.760
Bi 0.214 0.786 0.835
Bi 0.786 0.214 0.335
Te 0.049 0.951 0.883
Te 0.283 0.717 0.483
Te 0.307 0.693 0.177
Te 0.357 0.643 0.816
Te 0.495 0.505 0.581
Te 0.505 0.495 0.081
Te 0.643 0.357 0.316
Te 0.693 0.307 0.677
Te 0.717 0.283 0.983
Te 0.951 0.049 0.383

---

Record 10
A geometry-optimized NdMg5Cu2 structure. Source: Alexandria, functional PBE-GGA.

Results
formation energy = -0.107 eV per atom
volume = 172.2 Å³ per cell
space group = Immm, No. 71

Cell: 6.770 6.770 6.770 Å, 143.22 107.05 84.60°
Element x y z (fractional)
Nd 0.000 0.000 0.000
Mg 0.154 0.342 0.812
Mg 0.471 0.658 0.812
Mg 0.500 0.000 0.500
Mg 0.529 0.342 0.188
Mg 0.846 0.658 0.188
Cu 0.235 0.735 0.500
Cu 0.765 0.265 0.500

---

Record 11
A geometry-optimized Ni2AuS4 structure. Source: Alexandria, functional PBE-GGA.

Results
volume = 236.9 Å³ per cell
space group = I4_1/a, No. 88
total DFT energy (no corrections) = -63.884 eV per cell

Cell: 7.489 7.489 7.489 Å, 130.57 130.57 72.50°
Element x y z (fractional)
Ni 0.000 0.000 0.000
Ni 0.500 0.000 0.000
Ni 0.500 0.000 0.500
Ni 0.500 0.500 0.500
Au 0.125 0.375 0.750
Au 0.875 0.625 0.250
S 0.116 0.329 0.134
S 0.171 0.804 0.786
S 0.304 0.018 0.634
S 0.482 0.616 0.286
S 0.518 0.384 0.714
S 0.696 0.982 0.366
S 0.829 0.196 0.214
S 0.884 0.671 0.866